The following is a DFT calculation (PBE) of KCoP2 after structural relaxation.

## Properties
For the formation enthalpy at 0 K, the calculation gives -112 meV per atom. The electronic total energy comes out at -4.8675 eV per atom. Its energy above the most stable polymorph in this dataset is 228.5 meV per atom.

a = 3.819 Å, b = 2.881 Å, c = 6.694 Å
α = 89.94°, β = 90.00°, γ = 90.00°
Atoms (fractional coordinates):
Co 0.500 0.250 0.250
K 0.500 0.750 0.750
P 0.000 0.249 0.080
P 0.000 0.251 0.420